The following is a PBE calculation of a geometry-optimized Na2CdO structure, from Alexandria.

Lattice parameters (Å, degrees): 4.7619 4.7619 4.7619 60.00 60.00 60.00
Atoms (fractional coordinates):
Na  0.2500  0.2500  0.2500
O  0.0000  0.0000  0.0000
Cd  0.5000  0.5000  0.5000
Na  0.7500  0.7500  0.7500

## Properties
* relative energy among the computed polymorphs: 395 meV/atom
* total energy: -9.74 eV/cell
* V: 76.4 Å³/cell
* symmetry: Fm-3m, No. 225
* formation energy (no corrections): -308 meV/atom